# Nd8Ir3NCl4

Nd8Ir3NCl4 after structural relaxation (PBE-GGA, the Alexandria database).

Cell: 8.075 8.828 8.089 Å, 117.39 119.94 90.00°
Positions (direct):
Nd  0.752  0.695  0.974
Nd  0.224  0.697  0.449
Nd  0.776  0.303  0.551
Nd  0.222  0.695  0.974
Nd  0.263  0.291  0.527
Nd  0.737  0.709  0.473
Nd  0.778  0.305  0.026
Nd  0.248  0.305  0.026
Cl  0.500  0.000  0.500
Cl  0.000  0.000  0.500
Cl  0.500  0.000  0.000
Cl  0.000  0.000  0.000
Ir  0.500  0.500  0.000
Ir  0.000  0.500  0.500
Ir  0.500  0.500  0.500
N  0.000  0.500  0.000

Computed properties:
calculated volume: 26.47 Å³ per atom
magnetic moment: 0.0000 μB per atom
energy: -6.227 eV/atom